1.
The following is a GGA-PBE calculation of crystalline LaY7Er2 at its relaxed geometry, from the Alexandria database.

a b c (Å): 5.471 8.965 9.512
angles (deg): 118.09 106.71 52.35
Fractional coordinates of all 10 atoms:
Er  0.500  0.300  0.601
Er  0.500  0.700  0.399
Y  0.753  0.636  0.778
Y  0.247  0.142  0.778
Y  0.500  0.500  0.000
Y  0.001  0.798  0.597
Y  0.999  0.202  0.403
Y  0.753  0.858  0.222
Y  0.247  0.364  0.222
La  0.000  0.000  0.000

Properties
- energy of formation (eV/atom) = 0.039

2.
The following is a GGA-PBE calculation of crystalline Sc2ZnSb at its relaxed geometry, from the Alexandria database.

a b c (Å): 5.265 5.265 5.265
angles (deg): 130.24 130.25 73.02
Fractional coordinates of all 4 atoms:
Sc  0.500  0.500  0.000
Sc  0.000  0.000  0.000
Zn  0.750  0.250  0.500
Sb  0.250  0.750  0.500

Properties
- E_form (uncorrected) (eV per formula unit) = -2.08

Here are the calculated density of states at the Fermi level numbers, same order: 1.814; 0.695 (states/eV/atom).
Here are the calculated theoretical density numbers, same order: 5.6; 5.5 (g/cm3).
Here are the calculated energy relative to the lowest polymorph listed for this composition numbers, same order: 0; 91 (meV per atom).